Nd2PdPb PBE optimized geometry; VASP energy = -5.22 eV per atom; space-group type = Amm2 (38); mass density = 8.84 g/cm³; total moment = 0.012 μB per formula unit
1.0
-3.067 2.655 2.152
0.027 -3.891 4.841
2.971 -0.924 5.375
Pb Nd Pd
1 2 1
Cartesian
0.240 -0.386 0.818
0.403 -1.782 7.675
1.083 -1.739 3.690
1.203 -3.067 10.401